# 1
This record from the Alexandria database describes a relaxed Ca2Al5Au3 crystal. The functional is GGA-PBE.

Output
E   -38.089 eV/f.u.

a b c (Å): 4.4317 6.9510 12.9227
angles (deg): 90.00 99.87 90.00
Fractional positions:
Ca 0.4842 0.7579 0.9684
Ca 0.5158 0.2579 0.0316
Ca 0.8246 0.2254 0.6492
Ca 0.1754 0.7254 0.3508
Al 0.0542 0.5798 0.1084
Al 0.9458 0.0798 0.8916
Al 0.8764 0.7573 0.7527
Al 0.6038 0.9200 0.2077
Al 0.2914 0.5149 0.5828
Al 0.2928 0.9124 0.5856
Al 0.7072 0.4124 0.4144
Al 0.7086 0.0149 0.4172
Al 0.3962 0.4200 0.7923
Al 0.1236 0.2573 0.2473
Au 0.6086 0.5160 0.2171
Au 0.7732 0.7108 0.5464
Au 0.9485 0.4704 0.8970
Au 0.0515 0.9704 0.1030
Au 0.3914 0.0160 0.7829
Au 0.2268 0.2108 0.4536


# 2
This record from the Alexandria database describes a relaxed Ca3Al9Au2 crystal. The functional is GGA-PBE.

Output
E   -51.557 eV/f.u.

a b c (Å): 4.4198 8.3650 8.3650
angles (deg): 73.58 74.68 74.68
Fractional positions:
Al 0.3433 0.0239 0.2894
Al 0.8620 0.4204 0.8556
Al 0.0000 0.5000 0.5000
Al 0.6567 0.7106 0.9761
Al 0.8620 0.8556 0.4204
Al 0.3433 0.2894 0.0239
Al 0.1380 0.5796 0.1444
Al 0.6567 0.9761 0.7106
Al 0.1380 0.1444 0.5796
Ca 0.2993 0.7007 0.7007
Ca 0.0000 0.0000 0.0000
Ca 0.7007 0.2993 0.2993
Au 0.5000 0.6923 0.3077
Au 0.5000 0.3077 0.6923


# 3
This record from the Alexandria database describes a relaxed CaAlAu6 crystal. The functional is GGA-PBE.

Output
Energy above the most stable polymorph in this dataset   0 kJ/mol of formula units
E   -28.383 eV/f.u.

a b c (Å): 4.0666 4.0666 10.0689
angles (deg): 90.00 90.00 90.00
Fractional positions:
Au 0.5000 0.0000 0.3354
Au 0.5000 0.0000 0.6646
Au 0.0000 0.5000 0.6646
Au 0.5000 0.5000 0.1325
Au 0.0000 0.5000 0.3354
Au 0.5000 0.5000 0.8675
Al 0.0000 0.0000 0.5000
Ca 0.0000 0.0000 0.0000


# 4
This record from the Alexandria database describes a relaxed CaAl6Au3 crystal. The functional is GGA-PBE.

Output
E   -37.626 eV/f.u.

a b c (Å): 4.2486 8.5866 10.5668
angles (deg): 98.04 90.00 90.00
Fractional positions:
Au 0.7500 0.3494 0.8325
Au 0.7500 0.1837 0.0954
Au 0.7500 0.6998 0.5489
Au 0.2500 0.8163 0.9046
Au 0.2500 0.3002 0.4511
Au 0.2500 0.6506 0.1675
Al 0.7500 0.7800 0.3165
Al 0.2500 0.1513 0.9499
Al 0.7500 0.6513 0.7884
Al 0.2500 0.5940 0.4181
Al 0.2500 0.2200 0.6835
Al 0.2500 0.9168 0.5384
Al 0.7500 0.0832 0.4616
Al 0.2500 0.5176 0.9136
Al 0.7500 0.4824 0.0864
Al 0.7500 0.8487 0.0501
Al 0.7500 0.4060 0.5819
Al 0.2500 0.3487 0.2116
Ca 0.7500 0.9884 0.7636
Ca 0.2500 0.0116 0.2364


# 5
This record from the Alexandria database describes a relaxed Ca2AlAu3 crystal. The functional is GGA-PBE.

Output
E   -21.653 eV/f.u.

a b c (Å): 5.9501 5.9501 8.7882
angles (deg): 105.19 105.19 103.07
Fractional positions:
Ca 0.2412 0.2412 0.0000
Ca 0.7588 0.7588 0.0000
Ca 0.7500 0.2500 0.5000
Ca 0.2500 0.7500 0.5000
Al 0.3328 0.3328 0.6656
Al 0.6672 0.6672 0.3344
Au 0.1773 0.6460 0.8233
Au 0.8227 0.3540 0.1767
Au 0.8259 0.8259 0.6518
Au 0.3540 0.8227 0.1767
Au 0.1741 0.1741 0.3482
Au 0.6460 0.1773 0.8233


# 6
This record from the Alexandria database describes a relaxed CaAlAu4 crystal. The functional is GGA-PBE.

Output
Energy above the most stable polymorph in this dataset   33 kJ/mol of formula units
E   -21.524 eV/f.u.

a b c (Å): 5.2903 5.2764 9.3916
angles (deg): 112.11 101.05 88.73
Fractional positions:
Au 0.3713 0.4792 0.3513
Au 0.8148 0.3717 0.1873
Au 0.3145 0.8717 0.1873
Au 0.6855 0.1283 0.8127
Au 0.6287 0.5208 0.6487
Au 0.1289 0.0207 0.6487
Au 0.8711 0.9793 0.3513
Au 0.1852 0.6283 0.8127
Ca 0.7499 0.7500 0.0000
Ca 0.2501 0.2500 0.0000
Al 0.5000 0.0000 0.5000
Al 0.0000 0.5000 0.5000


# 7
This record from the Alexandria database describes a relaxed CaAlAu3 crystal. The functional is GGA-PBE.

Output
Energy above the most stable polymorph in this dataset   25 kJ/mol of formula units
E   -18.210 eV/f.u.

a b c (Å): 6.5972 6.5972 11.7202
angles (deg): 90.00 90.00 120.00
Fractional positions:
Au 0.2798 0.1399 0.2500
Au 0.5000 0.5000 0.5000
Au 0.1399 0.2798 0.7500
Au 0.8601 0.7202 0.2500
Au 0.8601 0.1399 0.2500
Au 0.7202 0.8601 0.7500
Au 0.5000 0.0000 0.0000
Au 0.0000 0.5000 0.5000
Au 0.1399 0.8601 0.7500
Au 0.0000 0.5000 0.0000
Au 0.5000 0.0000 0.5000
Au 0.5000 0.5000 0.0000
Ca 0.0000 0.0000 0.5000
Ca 0.6667 0.3333 0.7500
Ca 0.0000 0.0000 0.0000
Ca 0.3333 0.6667 0.2500
Al 0.6667 0.3333 0.3607
Al 0.3333 0.6667 0.8607
Al 0.3333 0.6667 0.6393
Al 0.6667 0.3333 0.1393


# 8
This record from the Alexandria database describes a relaxed CaAl3Au crystal. The functional is GGA-PBE.

Output
E   -18.971 eV/f.u.

a b c (Å): 4.1809 4.1809 6.5451
angles (deg): 108.49 108.49 90.01
Fractional positions:
Au 0.6230 0.6230 0.2458
Ca 0.0133 0.0133 0.0265
Al 0.4044 0.4044 0.8090
Al 0.2602 0.7611 0.5213
Al 0.7611 0.2602 0.5213


| no. | D(E_F) (states/eV/f.u.) |
| --- | --- |
| 1 | 4.55 |
| 2 | 3.54 |
| 3 | 4.94 |
| 4 | 3.60 |
| 5 | 3.70 |
| 6 | 2.10 |
| 7 | 1.18 |
| 8 | 1.59 |